Computed, not measured: crystalline Dy3HoMg7 at its relaxed geometry at the GGA-PBE level of DFT. Values from VASP.

Geometry as Quantum ESPRESSO input:
```
&SYSTEM
  ibrav = 0, nat = 22, ntyp = 3
/
ATOMIC_SPECIES
Mg 24.30 Mg.upf
Ho 164.93 Ho.upf
Dy 162.50 Dy.upf
ATOMIC_POSITIONS angstrom
Mg 0.0000 11.0967 6.7919
Mg 1.6460 5.3485 9.3890
Ho 1.6460 10.9213 4.0835
Ho 0.0000 0.3233 12.2505
Dy 1.6460 5.8921 4.0835
Mg 0.0000 11.0967 1.3751
Mg 1.6460 2.5855 4.0835
Mg 0.0000 5.8961 6.9449
Mg 0.0000 8.4371 2.5719
Dy 0.0000 5.3525 12.2505
Mg 1.6460 0.1479 14.9589
Dy 0.0000 2.6486 7.6226
Dy 0.0000 2.6486 0.5444
Dy 1.6460 8.5960 15.7896
Mg 0.0000 5.8961 1.2221
Mg 1.6460 2.8075 10.7389
Mg 0.0000 8.6591 12.2505
Mg 0.0000 8.4371 5.5950
Mg 1.6460 0.1479 9.5420
Mg 1.6460 5.3485 15.1119
Dy 1.6460 8.5960 8.7113
Mg 1.6460 2.8075 13.7620
CELL_PARAMETERS angstrom
3.2920 0.0000 0.0000
-1.6460 11.2446 0.0000
0.0000 0.0000 16.3339
```

Summary:
E above lowest polymorph	0.0000	eV/atom
formation energy from the elements	8.6	kJ/mol of atoms

Computed, not measured: crystalline KAl2GeO6 at its relaxed geometry at the GGA-PBE level of DFT. Values from VASP.

Geometry as Quantum ESPRESSO input:
```
&SYSTEM
  ibrav = 0, nat = 20, ntyp = 4
/
ATOMIC_SPECIES
Ge 72.64 Ge.upf
K 39.10 K.upf
O 16.00 O.upf
Al 26.98 Al.upf
ATOMIC_POSITIONS angstrom
Ge 3.2635 0.2635 5.2866
K 6.2585 -0.6680 6.0287
O 3.8242 2.3517 1.9642
O 2.7027 3.6611 3.3230
O 1.6518 4.3162 0.7914
Al 5.0986 1.2564 2.7119
O 4.8751 4.9058 1.4033
O 4.4382 5.5962 4.0680
Al 7.4184 2.7179 4.2286
O 5.6978 3.1073 3.7011
O 5.0837 -0.1371 1.5972
O 2.0887 1.6789 0.0028
O 4.6468 0.5532 4.2619
Ge 6.2585 5.1955 0.3786
K 3.2635 6.1270 -0.3635
Al 2.1036 2.7412 1.4367
Al 4.4233 4.2026 2.9534
O 7.4333 3.7801 5.6625
O 6.8192 1.7980 2.3422
O 7.8701 1.1428 4.8738
CELL_PARAMETERS angstrom
5.9900 -0.1554 -0.1613
1.7659 7.0072 -1.1338
1.7659 -1.3928 6.9604
```

Summary:
energy relative to the elements, uncorrected	-2.19	eV/atom

Computed, not measured: crystalline BaPdS6 at its relaxed geometry at the GGA-PBE level of DFT. Values from VASP.

Geometry as Quantum ESPRESSO input:
```
&SYSTEM
  ibrav = 0, nat = 8, ntyp = 3
/
ATOMIC_SPECIES
S 32.06 S.upf
Pd 106.42 Pd.upf
Ba 137.33 Ba.upf
ATOMIC_POSITIONS angstrom
S -1.7087 -6.3639 2.9636
S -1.9566 -1.5032 -2.3945
S -0.4552 -4.7466 3.1103
Pd 0.0000 0.0000 0.0000
S -4.3777 -5.3500 1.7369
Ba -1.2059 -3.1249 0.3579
S 1.9659 -0.8998 -1.0211
S -0.7031 0.1141 -2.2478
CELL_PARAMETERS angstrom
0.6795 3.5910 -8.9167
3.4989 -2.8279 1.7542
-6.5902 -7.0129 7.8783
```

Summary:
energy relative to the elements, uncorrected	-0.48	eV/atom